Entry 1:
Entry from Alexandria: a relaxed structure of NdSbI (PBE).

Lattice parameters (Å, degrees): 5.4149 5.4149 3.7513 90.00 90.00 120.00
Atoms (fractional coordinates):
1 Nd 0.0000 0.0000 0.0000
2 Sb 0.6667 0.3333 0.5000
3 I 0.3333 0.6667 0.0000

Summary:
The density is 6.8 g cm⁻³. The symmetry is P-6m2, No. 187. The value obtained for the total energy is -12.38 eV for the cell shown. The value obtained for the raw formation energy is -0.65 eV/atom. The relative energy among the computed polymorphs is 0.336 eV per atom.


Entry 2:
Entry from Alexandria: a relaxed structure of Er3Ga8Pd3 (PBE).

Lattice parameters (Å, degrees): 8.0799 8.0799 9.5145 125.02 125.02 30.79
Atoms (fractional coordinates):
1 Er 0.0000 0.0000 0.0000
2 Er 0.2930 0.2930 0.2917
3 Er 0.7070 0.7070 0.7083
4 Ga 0.1432 0.1432 0.4302
5 Ga 0.1479 0.1479 0.8653
6 Ga 0.3470 0.3470 0.7197
7 Ga 0.4981 0.4981 0.3226
8 Ga 0.5019 0.5019 0.6774
9 Ga 0.6530 0.6530 0.2803
10 Ga 0.8521 0.8521 0.1347
11 Ga 0.8568 0.8568 0.5698
12 Pd 0.0000 0.0000 0.5000
13 Pd 0.3524 0.3524 0.9894
14 Pd 0.6476 0.6476 0.0106

Summary:
As for the formation energy: -15.82 kcal/mol of atoms. The density is 9.0 g cm⁻³. The symmetry is C2/m, No. 12. The value obtained for the total energy is -63.08 eV for the cell shown. The relative energy among the computed polymorphs is 0.013 eV per atom.


Entry 3:
Entry from Alexandria: a relaxed structure of SrVN2 (PBE).

Lattice parameters (Å, degrees): 6.3049 7.3843 5.7139 90.00 113.15 90.00
Atoms (fractional coordinates):
1 Sr 0.1576 0.0747 0.3162
2 Sr 0.1576 0.4253 0.8162
3 Sr 0.8424 0.5747 0.1838
4 Sr 0.8424 0.9253 0.6838
5 V 0.3782 0.6440 0.4278
6 V 0.3782 0.8560 0.9278
7 V 0.6218 0.1440 0.0722
8 V 0.6218 0.3560 0.5722
9 N 0.2363 0.7284 0.1003
10 N 0.2363 0.7716 0.6003
11 N 0.2915 0.0977 0.9264
12 N 0.2915 0.4023 0.4264
13 N 0.7085 0.5977 0.5736
14 N 0.7085 0.9023 0.0736
15 N 0.7637 0.2284 0.3997
16 N 0.7637 0.2716 0.8997

Summary:
The density is 4.5 g cm⁻³. The symmetry is P2_1/c, No. 14. The value obtained for the total energy is -126.83 eV for the cell shown. The value obtained for the raw formation energy is -1.06 eV/atom.


Entry 4:
Entry from Alexandria: a relaxed structure of PWSCl2 (PBE).

Lattice parameters (Å, degrees): 4.8606 4.8606 4.6665 90.00 90.00 90.00
Atoms (fractional coordinates):
1 P 0.0000 0.0000 0.0000
2 W 0.5000 0.5000 0.5000
3 S 0.5000 0.5000 0.0000
4 Cl 0.0000 0.5000 0.5000
5 Cl 0.5000 0.0000 0.5000

Summary:
The density is 4.8 g cm⁻³. The symmetry is P4/mmm, No. 123. The value obtained for the total energy is -23.61 eV for the cell shown. The value obtained for the raw formation energy is 0.52 eV/atom. The relative energy among the computed polymorphs is 0.006 eV per atom.


Entry 5:
Entry from Alexandria: a relaxed structure of Nb2TcGe2 (PBE).

Lattice parameters (Å, degrees): 6.6463 6.6463 3.6926 90.00 90.00 90.00
Atoms (fractional coordinates):
1 Nb 0.1650 0.3350 0.0000
2 Nb 0.3350 0.8350 0.0000
3 Nb 0.6650 0.1650 0.0000
4 Nb 0.8350 0.6650 0.0000
5 Tc 0.0000 0.0000 0.5000
6 Tc 0.5000 0.5000 0.5000
7 Ge 0.1381 0.6381 0.5000
8 Ge 0.3619 0.1381 0.5000
9 Ge 0.6381 0.8619 0.5000
10 Ge 0.8619 0.3619 0.5000

Summary:
As for the formation energy: -6.36 kcal/mol of atoms. The density is 8.7 g cm⁻³. The symmetry is P4/mbm, No. 127. The value obtained for the total energy is -82.24 eV for the cell shown. The relative energy among the computed polymorphs is 0.036 eV per atom.


Entry 6:
Entry from Alexandria: a relaxed structure of LaFe2Os (PBE).

Lattice parameters (Å, degrees): 5.7288 5.7288 5.7288 42.84 42.84 42.84
Atoms (fractional coordinates):
1 La 0.0000 0.0000 0.0000
2 Fe 0.5050 0.5050 0.5050
3 Fe 0.8073 0.8073 0.8073
4 Os 0.1873 0.1873 0.1873

Summary:
As for the formation energy: 1.99 kcal/mol of atoms. The density is 9.3 g cm⁻³. The symmetry is R3m, No. 160. The value obtained for the total energy is -32.74 eV for the cell shown. The relative energy among the computed polymorphs is 0.000 eV per atom.


Entry 7:
Entry from Alexandria: a relaxed structure of NdThSiTe (PBE).

Lattice parameters (Å, degrees): 7.9627 7.9627 7.9627 31.34 31.34 31.34
Atoms (fractional coordinates):
1 Nd 0.0000 0.0000 0.0000
2 Th 0.8083 0.8083 0.8083
3 Si 0.4066 0.4066 0.4066
4 Te 0.2361 0.2361 0.2361

Summary:
The density is 7.3 g cm⁻³. The symmetry is R3m, No. 160. The value obtained for the total energy is -24.82 eV for the cell shown. The value obtained for the raw formation energy is -1.02 eV/atom.


Entry 8:
Entry from Alexandria: a relaxed structure of Pm3Dy3In2 (PBE).

Lattice parameters (Å, degrees): 4.8778 4.8965 9.8571 90.00 90.00 90.00
Atoms (fractional coordinates):
1 Pm 0.0000 0.0000 0.0000
2 Pm 0.0000 0.0000 0.5000
3 Pm 0.5000 0.5000 0.0000
4 Dy 0.5000 0.0000 0.2514
5 Dy 0.5000 0.0000 0.7486
6 Dy 0.5000 0.5000 0.5000
7 In 0.0000 0.5000 0.2528
8 In 0.0000 0.5000 0.7472

Summary:
As for the formation energy: -6.18 kcal/mol of atoms. The density is 8.1 g cm⁻³. The symmetry is Pmmm, No. 47. The value obtained for the total energy is -35.68 eV for the cell shown. The relative energy among the computed polymorphs is 0.000 eV per atom.


Question: Number 3 is which compound?
Answer: SrVN2